The following is a DFT calculation (PBE+U) of crystalline SrHg2WF at its relaxed geometry.

Cell and atoms, written as extended XYZ:
```
5
Lattice="6.519 0.000 0.000 0.000 6.519 0.000 0.000 0.000 6.256" Properties=species:S:1:pos:R:3 pbc="T T T"
Sr 0.000 0.000 0.000
Hg 0.000 3.259 0.000
Hg 3.259 0.000 0.000
W 0.000 0.000 3.128
F 3.259 3.259 3.128
```

Results
- Space-group type: P4/mmm, No. 123
- Total energy: -1.5867 eV/atom